A relaxed Dy12ThIn3 crystal, computed with PBE-GGA.

POSCAR file:
```
Dy12ThIn3
1.0
4.871 0.000 0.000
0.000 4.871 0.000
0.000 0.000 19.682
Dy Th In
12 1 3
Direct
0.500 0.500 0.000
0.500 0.500 0.255
0.500 0.500 0.500
0.500 0.500 0.745
0.500 0.000 0.129
0.500 0.000 0.377
0.500 0.000 0.623
0.500 0.000 0.871
0.000 0.500 0.129
0.000 0.500 0.377
0.000 0.500 0.623
0.000 0.500 0.871
0.000 0.000 0.000
0.000 0.000 0.256
0.000 0.000 0.500
0.000 0.000 0.744
```

total magnetic moment = 0.0 μB per formula unit
space-group type = P4/mmm (123)
Fermi-level density of states = 22.31 states/eV per cell
formation energy = -0.18 eV/atom

=====

A relaxed K3La2SnS6 crystal, computed with PBE-GGA.

POSCAR file:
```
K3La2SnS6
1.0
-0.852 6.707 -2.774
-5.739 -3.554 2.799
3.617 1.870 6.615
K La Sn S
3 2 1 6
Direct
0.165 0.835 0.500
0.835 0.165 0.500
0.500 0.500 0.500
0.333 0.667 0.000
0.667 0.333 0.000
0.000 0.000 0.000
0.931 0.609 0.793
0.746 0.746 0.205
0.069 0.391 0.207
0.609 0.931 0.793
0.254 0.254 0.795
0.391 0.069 0.207
```

formation energy without anion corrections = -1.50 eV/atom
total magnetic moment = 0.0 μB per formula unit
space-group type = C2/m (12)
Fermi-level density of states = 6.19 states/eV per cell

=====

A relaxed Er3MgNi4 crystal, computed with PBE-GGA.

POSCAR file:
```
Er3MgNi4
1.0
3.840 0.000 0.000
0.000 5.531 -0.614
-1.920 -1.948 7.660
Er Mg Ni
3 1 4
Direct
0.000 0.500 0.000
0.197 0.197 0.393
0.803 0.803 0.607
0.500 0.000 0.000
0.373 0.578 0.747
0.627 0.422 0.253
0.627 0.832 0.253
0.373 0.168 0.747
```

total magnetic moment = 0.0 μB per formula unit
space-group type = Immm (71)
Fermi-level density of states = 3.61 states/eV per cell
formation energy = -0.26 eV/atom

=====

A relaxed Hf3TiN crystal, computed with PBE-GGA.

POSCAR file:
```
Hf3TiN
1.0
-0.333 -2.694 3.525
-0.952 -3.409 -2.695
4.333 -0.956 -0.321
N Hf Ti
1 3 1
Direct
0.000 0.000 0.000
0.000 0.500 0.000
0.000 0.000 0.500
0.500 0.000 0.000
0.500 0.500 0.500
```

formation energy without anion corrections = -0.71 eV/atom
total magnetic moment = 0.0 μB per formula unit
space-group type = Pm-3m (221)
Fermi-level density of states = 6.03 states/eV per cell

=====

A relaxed Te2IrBr crystal, computed with PBE-GGA.

POSCAR file:
```
Te2IrBr
1.0
7.306 0.000 0.000
0.000 5.099 0.000
0.000 0.000 12.394
Ir Te Br
4 8 4
Direct
0.003 0.250 0.633
0.497 0.750 0.133
0.997 0.750 0.367
0.503 0.250 0.867
0.931 0.250 0.417
0.569 0.750 0.917
0.069 0.750 0.583
0.431 0.250 0.083
0.159 0.250 0.820
0.341 0.750 0.320
0.841 0.750 0.180
0.659 0.250 0.680
0.454 0.250 0.389
0.046 0.750 0.889
0.546 0.750 0.611
0.954 0.250 0.111
```

formation energy without anion corrections = 0.00 eV/atom
total magnetic moment = 0.0 μB per formula unit
space-group type = Pnma (62)
Fermi-level density of states = 7.76 states/eV per cell

=====

A relaxed NdYPuO6 crystal, computed with PBE-GGA.

POSCAR file:
```
NdYPuO6
1.0
5.779 0.000 0.000
-2.889 5.005 0.000
0.000 0.000 9.771
Nd Y Pu O
2 2 2 12
Direct
0.000 0.000 0.000
0.000 0.000 0.500
0.333 0.667 0.250
0.667 0.333 0.750
0.667 0.333 0.250
0.333 0.667 0.750
0.662 0.636 0.137
0.974 0.338 0.137
0.338 0.974 0.637
0.026 0.662 0.863
0.364 0.338 0.363
0.974 0.636 0.363
0.636 0.974 0.863
0.662 0.026 0.363
0.026 0.364 0.637
0.364 0.026 0.137
0.636 0.662 0.637
0.338 0.364 0.863
```

formation energy without anion corrections = -3.03 eV/atom
total magnetic moment = 2.0 μB per formula unit
space-group type = P-31c (163)
Fermi-level density of states = 14.74 states/eV per cell